Record 1
# LiCePt2

An optimized crystal structure of LiCePt2 (PBE-GGA, Alexandria).

Lattice parameters (Å, degrees): 7.2183 7.0339 5.6467 90.00 90.00 90.00
Closest atoms and distances in Å follow each position.
Space group Pnma (No. 62)
Asymmetric unit:
Li1 0.1005 0.2500 0.1519  6 Pt 2.54-2.62
Ce1 0.0256 0.7500 0.3558  8 Pt 2.89-3.13, 3 Li 2.92-3.17
Pt1 0.1963 0.5421 0.9164  3 Li 2.54-2.62

Properties
The value obtained for the formation energy from the elements is -82.4 kJ/mol of atoms.

Record 2
# NdSm2Er4Sc

An optimized crystal structure of NdSm2Er4Sc (PBE-GGA, Alexandria).

Lattice parameters (Å, degrees): 12.1922 7.0713 12.2004 90.00 109.33 90.00
Closest atoms and distances in Å follow each position.
Space group C2/m (No. 12)
Asymmetric unit:
Nd1 0.0000 0.0000 0.0000  6 Sm 3.52-3.54, 6 Er 3.55-3.58
Nd2 0.0000 0.0000 0.5000  6 Er 3.48-3.50, 4 Sc 3.52, 2 Sm 3.54
Sm1 0.0000 0.5000 0.0000  4 Sm 3.52, 2 Nd 3.54, 6 Er 3.55-3.58
Sm2 0.0000 0.5000 0.5000  6 Er 3.48-3.50, 4 Sc 3.52, 2 Nd 3.54
Sm3 0.2500 0.2500 0.0000  4 Sm 3.52-3.54, 2 Nd 3.52, 6 Er 3.56-3.59
Er1 0.0018 0.2505 0.2530  1 Sc 3.49, 3 Sm 3.50-3.56, 6 Er 3.50-3.55, 2 Nd 3.50-3.55
Er2 0.2492 0.0000 0.7438  2 Sc 3.46, 1 Nd 3.48, 6 Er 3.50-3.55, 3 Sm 3.58-3.59
Er3 0.2488 0.5000 0.7440  2 Sc 3.47, 3 Sm 3.48-3.58, 6 Er 3.51-3.54, 1 Nd 3.58
Sc1 0.2500 0.2500 0.5000  6 Er 3.46-3.49, 2 Sm 3.52, 2 Nd 3.52, 2 Sc 3.54

Properties
The value obtained for the formation energy from the elements is 3.2 kJ/mol of atoms.

Record 3
# TbTm2Se4

An optimized crystal structure of TbTm2Se4 (PBE-GGA, Alexandria).

Lattice parameters (Å, degrees): 3.9454 13.2769 13.6837 90.00 90.00 90.00
Closest atoms and distances in Å follow each position.
Space group Cmcm (No. 63)
Asymmetric unit:
Tb1 0.0000 0.1267 0.2500  6 Se 2.90-2.95
Tm1 0.0000 0.3697 0.0692  6 Se 2.79-2.88
Se1 0.0000 0.0000 0.0000  4 Tm 2.79
Se2 0.0000 0.2756 0.6208  3 Tm 2.85-2.88, 2 Tb 2.95
Se3 0.0000 0.4669 0.2500  2 Tm 2.79, 2 Tb 2.90

Properties
Its uncorrected formation energy is -41.925 kcal/mol of atoms. As for the polymorph energy (0 for the lowest one): 0.332 eV per formula unit.

Sequential total moment output: 0.08, 0.00, 0.00 μB per atom